# NaTl3Hg3

A relaxed NaTl3Hg3 crystal (PBE, Alexandria via LeMat-Bulk).

Properties
As for the relative energy among the computed polymorphs: 230 meV per atom. The value obtained for the formation enthalpy at 0 K is 0.170 eV per atom.

Lattice parameters (Å, degrees): 8.460 8.460 8.460 90.00 90.00 90.00
Space group Pm-3n (No. 223)
Inequivalent atoms, fractional coordinates:
Na 0.000 0.000 0.000
Tl 0.000 0.250 0.500
Hg 0.000 0.500 0.250

---

# HoGa2CuRh4

A relaxed HoGa2CuRh4 crystal (PBE, Alexandria via LeMat-Bulk).

Properties
The value obtained for the formation enthalpy at 0 K is -0.615 eV per atom.

Lattice parameters (Å, degrees): 4.3791 4.3791 21.8911 90.00 90.00 120.00
Space group R-3m (No. 166, hexagonal axes)
Inequivalent atoms, fractional coordinates:
Ho 0.0000 0.0000 0.0000
Ga 0.0000 0.0000 0.2455
Cu 0.0000 0.0000 0.5000
Rh 0.0000 0.0000 0.1285
Rh 0.0000 0.0000 0.3820

---

# NaPaS3

A relaxed NaPaS3 crystal (PBE, Alexandria via LeMat-Bulk).

Properties
As for the relative energy among the computed polymorphs: 0 meV per atom. Its formation energy from raw total energies is -133.67 kJ/mol of atoms.

Lattice parameters (Å, degrees): 6.9014 6.9014 20.3290 90.00 90.00 120.00
Space group R32 (No. 155, hexagonal axes)
Inequivalent atoms, fractional coordinates:
Na 0.0000 0.0000 0.1403
Pa 0.0000 0.0000 0.3359
S 0.0051 0.4183 0.9185

---

# PmSm3B4O12

A relaxed PmSm3B4O12 crystal (PBE, Alexandria via LeMat-Bulk).

Properties
Its formation energy from raw total energies is -291.30 kJ/mol of atoms.

Lattice parameters (Å, degrees): 10.2792 10.2792 8.7840 90.00 90.00 120.00
Space group R32 (No. 155, hexagonal axes)
Inequivalent atoms, fractional coordinates:
Pm 0.0000 0.0000 0.0000
Sm 0.0000 0.5276 0.0000
B 0.0000 0.0000 0.5000
B 0.0000 0.4711 0.5000
O 0.0000 0.6050 0.5000
O 0.0000 0.8660 0.5000
O 0.0042 0.1954 0.8344

---

# Pm2InSi

A relaxed Pm2InSi crystal (PBE, Alexandria via LeMat-Bulk).

Properties
Its formation energy from raw total energies is -45.34 kJ/mol of atoms.

Lattice parameters (Å, degrees): 3.875 3.875 6.852 90.00 90.00 90.00
Space group P4/mmm (No. 123)
Inequivalent atoms, fractional coordinates:
Pm 0.000 0.000 0.223
In 0.500 0.500 0.500
Si 0.500 0.500 0.000

---

# Hf2HRh

A relaxed Hf2HRh crystal (PBE, Alexandria via LeMat-Bulk).

Properties
As for the relative energy among the computed polymorphs: 0 meV per atom.

Lattice parameters (Å, degrees): 3.308 6.157 6.860 112.42 103.91 90.06
Space group P-1 (No. 2)
Inequivalent atoms, fractional coordinates:
Hf 0.015 0.268 0.029
Hf 0.289 0.285 0.578
H 0.110 0.613 0.220
Rh 0.378 0.912 0.756

---

# Mg6CrNi

A relaxed Mg6CrNi crystal (PBE, Alexandria via LeMat-Bulk).

Properties
As for the relative energy among the computed polymorphs: 0 meV per atom. The value obtained for the formation enthalpy at 0 K is 0.129 eV per atom.

Lattice parameters (Å, degrees): 4.817 6.047 10.469 90.00 90.00 90.00
Space group Amm2 (No. 38)
Inequivalent atoms, fractional coordinates:
Mg 0.000 0.000 0.000
Mg 0.000 0.240 0.240
Mg 0.500 0.000 0.655
Mg 0.500 0.243 0.412
Cr 0.000 0.000 0.493
Ni 0.500 0.000 0.160

---

# LaCo4Sb

A relaxed LaCo4Sb crystal (PBE, Alexandria via LeMat-Bulk).

Properties
Its formation energy from raw total energies is 0.92 kJ/mol of atoms.

Lattice parameters (Å, degrees): 7.272 7.272 7.272 90.00 90.00 90.00
Space group F-43m (No. 216)
Inequivalent atoms, fractional coordinates:
La 0.000 0.000 0.000
Co 0.124 0.124 0.624
Sb 0.250 0.250 0.250

---

# AcNd2

A relaxed AcNd2 crystal (PBE, Alexandria via LeMat-Bulk).

Properties
As for the relative energy among the computed polymorphs: 0 meV per atom. The value obtained for the formation enthalpy at 0 K is 0.030 eV per atom.

Lattice parameters (Å, degrees): 3.811 3.811 15.874 90.00 90.00 90.00
Space group I4/mmm (No. 139)
Inequivalent atoms, fractional coordinates:
Ac 0.000 0.000 0.000
Nd 0.000 0.000 0.329

---

# NiBi2Pd2

A relaxed NiBi2Pd2 crystal (PBE, Alexandria via LeMat-Bulk).

Properties
The value obtained for the formation enthalpy at 0 K is 0.025 eV per atom.

Lattice parameters (Å, degrees): 7.116 7.116 3.995 90.00 90.00 90.00
Space group P4/mbm (No. 127)
Inequivalent atoms, fractional coordinates:
Ni 0.000 0.000 0.000
Bi 0.171 0.329 0.500
Pd 0.139 0.639 0.000

---

# Li7Zn2Ag3

A relaxed Li7Zn2Ag3 crystal (PBE, Alexandria via LeMat-Bulk).

Properties
The value obtained for the formation enthalpy at 0 K is -0.109 eV per atom.

Lattice parameters (Å, degrees): 4.499 2.922 15.210 90.00 96.73 90.00
Space group P2/m (No. 10)
Inequivalent atoms, fractional coordinates:
Li 0.000 0.000 0.000
Li 0.114 0.500 0.201
Li 0.264 0.500 0.536
Li 0.410 0.000 0.853
Zn 0.346 0.500 0.703
Ag 0.187 0.000 0.368
Ag 0.500 0.500 0.000

---

# LaMgIn5

A relaxed LaMgIn5 crystal (PBE, Alexandria via LeMat-Bulk).

Properties
The value obtained for the formation enthalpy at 0 K is -0.269 eV per atom.

Lattice parameters (Å, degrees): 5.031 5.031 7.577 90.00 90.00 90.00
Space group P4/mmm (No. 123)
Inequivalent atoms, fractional coordinates:
La 0.000 0.000 0.000
Mg 0.000 0.000 0.500
In 0.000 0.500 0.294
In 0.500 0.500 0.000

---

# TmAlSn2

A relaxed TmAlSn2 crystal (PBE, Alexandria via LeMat-Bulk).

Properties
The value obtained for the formation enthalpy at 0 K is -0.157 eV per atom.

Lattice parameters (Å, degrees): 4.3738 4.3738 19.2177 90.00 90.00 120.00
Space group R3m (No. 160, hexagonal axes)
Inequivalent atoms, fractional coordinates:
Tm 0.0000 0.0000 0.0000
Al 0.0000 0.0000 0.1698
Sn 0.0000 0.0000 0.4229
Sn 0.0000 0.0000 0.5767

---

# AlSi2Ni

A relaxed AlSi2Ni crystal (PBE, Alexandria via LeMat-Bulk).

Properties
Its formation energy from raw total energies is -8.10 kJ/mol of atoms.

Lattice parameters (Å, degrees): 2.754 2.754 7.022 90.00 90.00 90.00
Space group P4/mmm (No. 123)
Inequivalent atoms, fractional coordinates:
Al 0.000 0.000 0.000
Si 0.500 0.500 0.282
Ni 0.000 0.000 0.500

---

# Nd2Sm3DyHo6

A relaxed Nd2Sm3DyHo6 crystal (PBE, Alexandria via LeMat-Bulk).

Properties
The value obtained for the formation enthalpy at 0 K is 0.015 eV per atom.

Lattice parameters (Å, degrees): 6.204 10.741 11.800 90.00 100.05 90.00
Space group C2/m (No. 12)
Inequivalent atoms, fractional coordinates:
Nd 0.000 0.166 0.000
Sm 0.000 0.000 0.500
Sm 0.000 0.333 0.500
Dy 0.000 0.500 0.000
Ho 0.249 0.500 0.750
Ho 0.250 0.166 0.750

---

# CaIr2N2

A relaxed CaIr2N2 crystal (PBE, Alexandria via LeMat-Bulk).

Properties
As for the relative energy among the computed polymorphs: 0 meV per atom. Its formation energy from raw total energies is 27.87 kJ/mol of atoms.

Lattice parameters (Å, degrees): 3.942 3.942 8.490 90.00 90.00 90.00
Space group I4/mmm (No. 139)
Inequivalent atoms, fractional coordinates:
Ca 0.000 0.000 0.000
Ir 0.000 0.000 0.342
N 0.000 0.500 0.250

---

# Dy7HoEr2

A relaxed Dy7HoEr2 crystal (PBE, Alexandria via LeMat-Bulk).

Properties
As for the relative energy among the computed polymorphs: 677 meV per atom. The value obtained for the formation enthalpy at 0 K is 0.697 eV per atom.

Lattice parameters (Å, degrees): 8.660 16.789 5.266 90.00 90.00 90.00
Space group Cmmm (No. 65)
Inequivalent atoms, fractional coordinates:
Dy 0.000 0.000 0.000
Dy 0.000 0.300 0.500
Dy 0.178 0.390 0.000
Ho 0.000 0.500 0.500
Er 0.000 0.202 0.000

---

# Pr4Zn5Co2

A relaxed Pr4Zn5Co2 crystal (PBE, Alexandria via LeMat-Bulk).

Properties
The value obtained for the formation enthalpy at 0 K is -0.186 eV per atom.

Lattice parameters (Å, degrees): 6.990 3.964 8.898 90.00 94.68 90.00
Space group P2/m (No. 10)
Inequivalent atoms, fractional coordinates:
Pr 0.174 0.000 0.355
Pr 0.248 0.000 0.932
Zn 0.192 0.500 0.655
Zn 0.431 0.500 0.193
Zn 0.500 0.500 0.500
Co 0.055 0.500 0.128

---

# LaZn8Pd2

A relaxed LaZn8Pd2 crystal (PBE, Alexandria via LeMat-Bulk).

Properties
The value obtained for the formation enthalpy at 0 K is 0.022 eV per atom.

Lattice parameters (Å, degrees): 5.222 5.222 8.940 90.00 90.00 90.00
Space group P4/mmm (No. 123)
Inequivalent atoms, fractional coordinates:
La 0.000 0.000 0.000
Zn 0.251 0.251 0.293
Pd 0.000 0.500 0.500

---

# LaSb2Au

A relaxed LaSb2Au crystal (PBE, Alexandria via LeMat-Bulk).

Properties
Its formation energy from raw total energies is -47.74 kJ/mol of atoms.

Lattice parameters (Å, degrees): 4.125 4.125 6.379 90.00 90.00 90.00
Space group P4mm (No. 99)
Inequivalent atoms, fractional coordinates:
La 0.000 0.000 0.000
Sb 0.000 0.000 0.510
Sb 0.500 0.500 0.214
Au 0.500 0.500 0.691

---

# Sb2PBr

A relaxed Sb2PBr crystal (PBE, Alexandria via LeMat-Bulk).

Properties
As for the relative energy among the computed polymorphs: 72 meV per atom. Its formation energy from raw total energies is 6.46 kJ/mol of atoms.

Lattice parameters (Å, degrees): 3.7384 3.7384 25.2590 90.00 90.00 120.00
Space group R-3m (No. 166, hexagonal axes)
Inequivalent atoms, fractional coordinates:
Sb 0.0000 0.0000 0.2360
P 0.0000 0.0000 0.5000
Br 0.0000 0.0000 0.0000

---

# ZnMo

A relaxed ZnMo crystal (PBE, Alexandria via LeMat-Bulk).

Properties
As for the relative energy among the computed polymorphs: 95 meV per atom. The value obtained for the formation enthalpy at 0 K is 0.156 eV per atom.

Lattice parameters (Å, degrees): 2.657 2.657 8.622 90.00 90.00 90.00
Space group P4/nmm (No. 129, origin choice 2)
Inequivalent atoms, fractional coordinates:
Zn 0.250 0.250 0.119
Mo 0.250 0.250 0.636

---

# MnTc2Ni

A relaxed MnTc2Ni crystal (PBE, Alexandria via LeMat-Bulk).

Properties
As for the relative energy among the computed polymorphs: 66 meV per atom. The value obtained for the formation enthalpy at 0 K is 0.059 eV per atom.

Lattice parameters (Å, degrees): 5.234 7.561 2.608 90.00 90.00 90.00
Space group Cmmm (No. 65)
Inequivalent atoms, fractional coordinates:
Mn 0.000 0.000 0.000
Tc 0.250 0.250 0.500
Ni 0.000 0.500 0.000

---

# SrLi2Pm2In2

A relaxed SrLi2Pm2In2 crystal (PBE, Alexandria via LeMat-Bulk).

Properties
The value obtained for the formation enthalpy at 0 K is -0.234 eV per atom.

Lattice parameters (Å, degrees): 5.0029 5.0029 28.6775 90.00 90.00 120.00
Space group R-3m (No. 166, hexagonal axes)
Inequivalent atoms, fractional coordinates:
Sr 0.0000 0.0000 0.0000
Li 0.0000 0.0000 0.4091
Pm 0.0000 0.0000 0.1308
In 0.0000 0.0000 0.2525